Below is a geometry-optimized Ac2TmSn3Au4 structure, with properties calculated at the PBE level.

Output
* E_form: -0.697 eV/atom

Cell: 4.721 4.721 11.819 Å, 90.00 90.00 90.00°
Space group P-4m2 (No. 115)
Asymmetric unit:
Ac: 0.000 0.500 0.223
Tm: 0.000 0.000 0.500
Sn: 0.000 0.500 0.871
Sn: 0.500 0.500 0.500
Au: 0.000 0.000 0.000
Au: 0.000 0.500 0.641
Au: 0.500 0.500 0.000



Below is a geometry-optimized AcPmUN4 structure, with properties calculated at the PBE level.

Output
* uncorrected formation energy: -1287 meV per atom

Cell: 6.021 13.082 6.034 Å, 90.00 90.00 90.00°
Space group Cmcm (No. 63)
Asymmetric unit:
Ac: 0.000 0.102 0.250
Pm: 0.000 0.399 0.250
U: 0.000 0.252 0.750
N: 0.000 0.086 0.750
N: 0.000 0.425 0.750
N: 0.250 0.250 0.000



Below is a geometry-optimized AlCrSe2 structure, with properties calculated at the PBE level.

Output
* energy above the lowest structure with this stoichiometry: 284 meV per atom
* uncorrected formation energy: -100 meV per atom

Cell: 3.600 3.640 7.247 Å, 90.00 90.00 90.00°
Space group Pmmm (No. 47)
Asymmetric unit:
Al: 0.000 0.000 0.000
Cr: 0.000 0.500 0.500
Se: 0.500 0.000 0.500
Se: 0.500 0.500 0.000



Below is a geometry-optimized Ho2Tm3Pd4 structure, with properties calculated at the PBE level.

Output
* energy above the lowest structure with this stoichiometry: 115 meV per atom
* E_form: -0.728 eV/atom

Cell: 6.580 17.300 7.318 Å, 90.00 90.00 90.00°
Space group Cmce (No. 64)
Asymmetric unit:
Ho: 0.000 0.095 0.084
Tm: 0.000 0.000 0.500
Tm: 0.250 0.233 0.750
Pd: 0.000 0.166 0.461
Pd: 0.250 0.069 0.750



Below is a geometry-optimized Na2Zn2In structure, with properties calculated at the PBE level.

Output
* energy above the lowest structure with this stoichiometry: 158 meV per atom
* E_form: 0.159 eV/atom

Cell: 4.271 4.271 13.588 Å, 90.00 90.00 90.00°
Space group I4/mmm (No. 139)
Asymmetric unit:
Na: 0.000 0.500 0.250
Zn: 0.000 0.000 0.091
In: 0.000 0.000 0.500



Below is a geometry-optimized Dy2MgP3Ir12 structure, with properties calculated at the PBE level.

Output
* E_form: -0.130 eV/atom

Cell: 8.9573 8.9573 12.8468 Å, 90.00 90.00 120.00°
Space group R-3m (No. 166, hexagonal axes)
Asymmetric unit:
Dy: 0.0000 0.0000 0.1306
Mg: 0.0000 0.0000 0.5000
P: 0.0000 0.5000 0.0000
Ir: 0.0012 0.5006 0.8257
Ir: 0.0126 0.5063 0.3817



Below is a geometry-optimized Ce2AlCl structure, with properties calculated at the PBE level.

Output
* energy above the lowest structure with this stoichiometry: 48 meV per atom
* uncorrected formation energy: -711 meV per atom

Cell: 3.5304 3.5304 27.5190 Å, 90.00 90.00 120.00°
Space group R-3m (No. 166, hexagonal axes)
Asymmetric unit:
Ce: 0.0000 0.0000 0.2488
Al: 0.0000 0.0000 0.0000
Cl: 0.0000 0.0000 0.5000



Below is a geometry-optimized Bi2TeAs structure, with properties calculated at the PBE level.

Output
* energy above the lowest structure with this stoichiometry: 40 meV per atom
* uncorrected formation energy: -2 meV per atom

Cell: 4.235 7.822 7.518 Å, 90.00 90.00 90.00°
Space group Pmmn (No. 59, origin choice 2)
Asymmetric unit:
Bi: 0.250 0.007 0.223
Te: 0.250 0.250 0.581
As: 0.250 0.750 0.924